# 1
Below is a relaxed PmHg3F8 crystal, with properties calculated at the PBE level.

abc: 5.739 5.739 5.739
angles: 90.00 90.00 90.00
Space group Pm-3m (No. 221)
Asymmetric unit:
Pm 0.000 0.000 0.000 (multiplicity 1)
Hg 0.000 0.500 0.500 (multiplicity 3)
F 0.240 0.240 0.240 (multiplicity 8)

Values from the calculation:
- E_form (uncorrected): -2.208 eV/atom
- Crystal system: cubic

---

# 2
Below is a relaxed Pm5Al2Si4 crystal, with properties calculated at the PBE level.

abc: 19.256 4.229 7.136
angles: 90.00 105.70 90.00
Space group C2/m (No. 12)
Asymmetric unit:
Pm 0.000 0.000 0.000 (multiplicity 2)
Pm 0.156 0.500 0.418 (multiplicity 4)
Pm 0.163 0.500 0.944 (multiplicity 4)
Al 0.075 0.000 0.627 (multiplicity 4)
Si 0.011 0.500 0.685 (multiplicity 4)
Si 0.208 0.000 0.710 (multiplicity 4)

Values from the calculation:
- E_form (uncorrected): -0.380 eV/atom
- Crystal system: monoclinic

---

# 3
Below is a relaxed GdMgAgIr crystal, with properties calculated at the PBE level.

abc: 6.825 6.825 6.825
angles: 90.00 90.00 90.00
Space group F-43m (No. 216)
Asymmetric unit:
Gd 0.000 0.000 0.000 (multiplicity 4)
Mg 0.000 0.000 0.500 (multiplicity 4)
Ag 0.250 0.250 0.750 (multiplicity 4)
Ir 0.250 0.250 0.250 (multiplicity 4)

Values from the calculation:
- DFT formation energy: -0.40 eV per atom
- Crystal system: cubic

---

# 4
Below is a relaxed Y2MnP3Pt4 crystal, with properties calculated at the PBE level.

abc: 4.078 4.078 10.457
angles: 90.00 90.00 90.00
Space group P-4m2 (No. 115)
Asymmetric unit:
Y 0.000 0.500 0.235 (multiplicity 2)
Mn 0.000 0.000 0.500 (multiplicity 1)
P 0.000 0.500 0.862 (multiplicity 2)
P 0.500 0.500 0.500 (multiplicity 1)
Pt 0.000 0.000 0.000 (multiplicity 1)
Pt 0.000 0.500 0.642 (multiplicity 2)
Pt 0.500 0.500 0.000 (multiplicity 1)

Values from the calculation:
- DFT formation energy: -0.87 eV per atom
- Crystal system: tetragonal

---

Total DFT energy (no corrections) list, top to bottom, in eV for the cell shown: -47.1, -114.2, -116.0, -71.2
Calculated volume list, top to bottom, in A^3/atom: 15.75, 25.43, 19.87, 17.39